No. 1
Below is a geometry-optimized HgHRh2Au structure, with properties calculated at the PBE level.

Calculated values
Its energy above the most stable polymorph in this dataset is 69 meV/atom. For the theoretical density, the calculation gives 14.405 g/cm3. The value obtained for the total DFT energy (no corrections) is -4.093 eV/atom. Its space group is No. 123.

a b c (Å): 4.0140 4.0140 4.3241
angles (deg): 90.00 90.00 90.00
Last column: nearest neighbours and their distance in Å.
Atoms (fractional coordinates):
Hg (0.0000, 0.0000, 0.0000)  2 H 2.16
H (0.0000, 0.0000, 0.5000)  4 Rh 2.01, 2 Hg 2.16
Rh (0.0000, 0.5000, 0.5000)  2 H 2.01
Rh (0.5000, 0.0000, 0.5000)  2 H 2.01
Au (0.5000, 0.5000, 0.0000)  4 Hg 2.84, 8 Rh 2.95


No. 2
Below is a geometry-optimized HgHRh2Au structure, with properties calculated at the PBE level.

Calculated values
Its energy above the most stable polymorph in this dataset is 0 meV/atom. For the theoretical density, the calculation gives 14.487 g/cm3. The value obtained for the total DFT energy (no corrections) is -4.162 eV/atom. Its space group is No. 123.

a b c (Å): 4.1107 4.1107 4.0996
angles (deg): 90.00 90.00 90.00
Last column: nearest neighbours and their distance in Å.
Atoms (fractional coordinates):
Hg (0.0000, 0.0000, 0.0000)  8 Rh 2.90, 4 Au 2.91
H (0.5000, 0.5000, 0.5000)  2 Au 2.05, 4 Rh 2.06
Rh (0.0000, 0.5000, 0.5000)  2 H 2.06
Rh (0.5000, 0.0000, 0.5000)  2 H 2.06
Au (0.5000, 0.5000, 0.0000)  2 H 2.05


No. 3
Below is a geometry-optimized HgHRhAuS structure, with properties calculated at the PBE level.

Calculated values
Its energy above the most stable polymorph in this dataset is 96 meV/atom. For the theoretical density, the calculation gives 10.410 g/cm3. The value obtained for the total DFT energy (no corrections) is -3.639 eV/atom. Its space group is No. 1.

a b c (Å): 2.9589 4.7834 6.3811
angles (deg): 103.97 103.39 90.02
Last column: nearest neighbours and their distance in Å.
Atoms (fractional coordinates):
Hg (0.0000, 0.0000, 0.0000)  2 S 2.80-2.81, 2 H 2.82, 2 Hg 2.96, 1 Rh 2.99, 2 Au 3.00
H (0.6475, 0.4336, 0.2959)  1 Au 1.83, 2 Rh 1.91-1.92
Rh (0.2338, 0.3580, 0.4690)  2 H 1.91-1.92
Au (0.6817, 0.8285, 0.3672)  1 H 1.83
S (0.8773, 0.4192, 0.7560)  2 Rh 2.28


No. 4
Below is a geometry-optimized HgHRhAuS structure, with properties calculated at the PBE level.

Calculated values
Its energy above the most stable polymorph in this dataset is 74 meV/atom. For the theoretical density, the calculation gives 10.322 g/cm3. The value obtained for the total DFT energy (no corrections) is -3.660 eV/atom. Its space group is No. 6.

a b c (Å): 4.6627 3.1760 6.1767
angles (deg): 90.00 110.22 90.00
Last column: nearest neighbours and their distance in Å.
Atoms (fractional coordinates):
Hg (0.0000, 0.0000, 0.0000)  1 S 2.67, 2 Au 2.86-2.98, 2 Rh 2.94
H (0.5622, 0.5000, 0.4338)  1 Rh 1.71, 2 Au 1.90
Rh (0.1926, 0.5000, 0.4278)  1 H 1.71
Au (0.6543, 0.0000, 0.3031)  2 H 1.90
S (0.3114, 0.0000, 0.7093)  2 Rh 2.28


No. 5
Below is a geometry-optimized HgHRhAuS structure, with properties calculated at the PBE level.

Calculated values
Its energy above the most stable polymorph in this dataset is 0 meV/atom. For the theoretical density, the calculation gives 9.646 g/cm3. The value obtained for the total DFT energy (no corrections) is -3.735 eV/atom. Its space group is No. 1.

a b c (Å): 3.1382 5.4683 5.9802
angles (deg): 116.49 90.04 90.16
Last column: nearest neighbours and their distance in Å.
Atoms (fractional coordinates):
Hg (0.0000, 0.0000, 0.0000)  2 Rh 2.72-2.76, 2 H 2.98-2.99
H (0.5034, 0.6678, 0.1908)  1 Au 1.75
Rh (0.0014, 0.4906, 0.9730)  2 H 1.99-2.00
Au (0.5020, 0.5184, 0.3956)  1 H 1.75
S (0.5001, 0.3133, 0.6706)  2 Rh 2.26, 1 Au 2.37


No. 6
Below is a geometry-optimized HgHRhAuS structure, with properties calculated at the PBE level.

Calculated values
Its energy above the most stable polymorph in this dataset is 29 meV/atom. For the theoretical density, the calculation gives 9.518 g/cm3. The value obtained for the total DFT energy (no corrections) is -3.706 eV/atom. Its space group is No. 6.

a b c (Å): 4.8080 3.0649 6.4103
angles (deg): 90.00 99.80 90.00
Last column: nearest neighbours and their distance in Å.
Atoms (fractional coordinates):
Hg (0.0000, 0.0000, 0.0000)  2 Au 2.89-2.92, 4 Rh 2.92-2.97, 2 Hg 3.06, 1 H 3.15
H (0.1333, 0.0000, 0.5355)  1 S 1.37
Rh (0.4787, 0.5000, 0.8829)  2 S 2.26
Au (0.5547, 0.0000, 0.2575)  1 S 2.52, 2 Rh 2.82
S (0.4162, 0.0000, 0.6195)  1 H 1.37


Question: Which of these has the lowest theoretical density?
Answer: number 6


Please write out number 5 again, unchanged.
Below is a geometry-optimized HgHRhAuS structure, with properties calculated at the PBE level.

Calculated values
Its energy above the most stable polymorph in this dataset is 0 meV/atom. For the theoretical density, the calculation gives 9.646 g/cm3. The value obtained for the total DFT energy (no corrections) is -3.735 eV/atom. Its space group is No. 1.

a b c (Å): 3.1382 5.4683 5.9802
angles (deg): 116.49 90.04 90.16
Last column: nearest neighbours and their distance in Å.
Atoms (fractional coordinates):
Hg (0.0000, 0.0000, 0.0000)  2 Rh 2.72-2.76, 2 H 2.98-2.99
H (0.5034, 0.6678, 0.1908)  1 Au 1.75
Rh (0.0014, 0.4906, 0.9730)  2 H 1.99-2.00
Au (0.5020, 0.5184, 0.3956)  1 H 1.75
S (0.5001, 0.3133, 0.6706)  2 Rh 2.26, 1 Au 2.37


Question: What is the theoretical density in the third record?
Answer: 10.410 g/cm3